Entry 1:
Density functional theory data (PBE-GGA) for an optimized crystal structure of SrTeOs2.

```
4
Lattice="5.203 -0.001 -0.004 -2.601 5.459 0.003 0.001 0.782 2.817" Properties=species:S:1:pos:R:3 pbc="T T T"
Te 1.301 2.729 -0.001
Os 2.602 0.391 1.406
Os 0.000 0.000 0.000
Sr -1.300 3.120 1.410
```

Properties
formation energy from raw total energies = 92.5 kJ/mol of atoms
crystal system = monoclinic
DOS(E_F) = 1.08 states/eV per atom
SG = C2/m

***

Entry 2:
Density functional theory data (PBE-GGA) for an optimized crystal structure of Mg2PbW.

```
4
Lattice="4.864 0.000 0.000 2.432 4.212 0.000 2.432 1.404 3.971" Properties=species:S:1:pos:R:3 pbc="T T T"
W 0.000 0.000 0.000
Mg 4.864 2.808 1.986
Mg 2.432 1.404 0.993
Pb 7.296 4.212 2.979
```

Properties
formation energy = 0.766 eV/atom
crystal system = cubic
DOS(E_F) = 1.13 states/eV per atom
SG = F-43m

***

Entry 3:
Density functional theory data (PBE-GGA) for an optimized crystal structure of PaGaPd6.

```
8
Lattice="-5.236 -0.053 -3.410 1.936 -5.928 -0.391 -0.739 1.507 4.690" Properties=species:S:1:pos:R:3 pbc="T T T"
Pd -2.569 -4.008 -1.697
Pd -4.473 -2.051 0.019
Pd 0.434 -2.423 0.869
Pd -1.470 -0.466 2.585
Pd -1.460 -4.520 1.288
Pd -2.579 0.046 -0.400
Ga -2.020 -2.237 0.444
Pa 0.000 0.000 0.000
```

Properties
formation energy = -0.330 eV/atom
crystal system = monoclinic
DOS(E_F) = 0.35 states/eV per atom
SG = C2/m

***

Entry 4:
Density functional theory data (PBE-GGA) for an optimized crystal structure of LiSc2CrCd.

```
5
Lattice="4.994 0.000 0.000 0.000 4.329 0.000 0.000 0.000 4.994" Properties=species:S:1:pos:R:3 pbc="T T T"
Sc 0.000 0.000 2.497
Sc 2.497 0.000 0.000
Cr 0.000 2.164 0.000
Cd 2.497 2.164 2.497
Li 0.000 0.000 0.000
```

Properties
formation energy = 0.651 eV/atom
crystal system = tetragonal
DOS(E_F) = 1.37 states/eV per atom
SG = P4/mmm

***

| no. | total magnetic moment (μB per cell) |
| --- | --- |
| 1 | 0.00 |
| 2 | 0.00 |
| 3 | 0.00 |
| 4 | 3.22 |